# 1
DFT (PBE-GGA) results for crystalline Sc2WAu at its relaxed geometry.

Summary:
Energy of formation from the pure elements in eV/atom: 0.017
Distance to the lowest polymorph of the same formula in meV/atom: 210.2

```
4
Lattice="9.4963 0.0104 0.0061 8.9908 3.0571 0.0061 8.9908 1.4918 2.6684" Properties=species:S:1:pos:R:3 pbc="T T T"
Sc 27.4648 4.5571 2.6793
Sc 13.7521 2.2818 1.3416
W 6.8695 1.1398 0.6702
Au 20.6084 3.4194 2.0105
```

# 2
DFT (PBE-GGA) results for crystalline Ce8Os5Pd at its relaxed geometry.

Summary:
Energy of formation from the pure elements in eV/atom: -0.240

```
14
Lattice="0.2930 2.4139 -7.0945 5.8861 -4.4625 1.2982 -6.3063 -3.8772 1.2014" Properties=species:S:1:pos:R:3 pbc="T T T"
Os -0.1475 -3.3779 -3.7496
Os 3.8596 -2.8295 -4.6930
Os -3.0066 -0.7317 -2.9466
Os -5.4011 -3.4404 -1.2879
Os 1.4346 -2.2037 0.5407
Pd -1.7134 -4.5357 -0.2235
Ce 2.1860 -2.6166 -2.4627
Ce 1.3904 -4.9952 0.7035
Ce -3.7771 -1.0843 -6.0078
Ce -0.8162 -1.8899 -0.9591
Ce -3.1691 -3.5175 -2.9709
Ce -0.1690 -5.7708 -2.3296
Ce 4.5078 -3.1067 0.1067
Ce -0.6618 -0.7224 -4.4597
```

# 3
DFT (PBE-GGA) results for crystalline LaCrTc2 at its relaxed geometry.

Summary:
Energy of formation from the pure elements in eV/atom: 0.299
Distance to the lowest polymorph of the same formula in meV/atom: 0.0

```
4
Lattice="3.0869 0.0000 0.0000 0.0000 3.0869 0.0000 0.0000 0.0000 7.4892" Properties=species:S:1:pos:R:3 pbc="T T T"
Cr 1.5434 1.5434 1.8723
Tc 0.0000 0.0000 3.1918
Tc 0.0000 0.0000 0.5528
La 1.5434 1.5434 5.6169
```

# 4
DFT (PBE-GGA) results for crystalline AcB4H12 at its relaxed geometry.

Summary:
Total energy in eV/cell: -64.17

```
17
Lattice="5.5262 0.0000 0.0000 -1.8421 5.2101 0.0000 -1.8421 -2.6051 4.5121" Properties=species:S:1:pos:R:3 pbc="T T T"
H 0.0002 -0.0001 2.3437
H 1.7705 -1.2519 4.5119
H 0.0716 3.8570 0.0002
H -1.7705 3.2814 3.3401
H -1.8419 -0.5753 3.3403
H 1.8419 2.6052 2.1684
H 1.8422 0.5754 3.3401
H -0.0002 2.0297 1.1720
H 1.9137 0.6768 1.1718
H -0.0716 1.9283 3.3403
H 3.6125 -0.6764 1.1720
H 3.6839 3.1803 1.1718
Ac 0.0000 0.0000 0.0000
B 2.7631 0.0000 0.0000
B -0.9210 -1.3025 2.2560
B -0.9210 2.6051 0.0000
B 0.9210 1.3025 2.2560
```

# 5
DFT (PBE-GGA) results for crystalline KCd2AsPd at its relaxed geometry.

Summary:
Energy of formation from the pure elements in eV/atom: -0.123

```
5
Lattice="5.2685 0.0000 0.0000 0.0000 5.2685 0.0000 0.0000 0.0000 4.9700" Properties=species:S:1:pos:R:3 pbc="T T T"
As 0.0000 0.0000 2.4850
Pd 0.0000 0.0000 0.0000
Cd 0.0000 2.6342 0.0000
Cd 2.6342 0.0000 0.0000
K 2.6342 2.6342 2.4850
```

# 6
DFT (PBE-GGA) results for crystalline Zr2NbTe2 at its relaxed geometry.

Summary:
Formation energy (no corrections) in eV per atom: 0.348
Distance to the lowest polymorph of the same formula in meV/atom: 411.9

```
5
Lattice="4.0945 0.0000 0.0000 0.0000 4.0945 0.0000 2.0473 2.0473 7.5171" Properties=species:S:1:pos:R:3 pbc="T T T"
Te 4.0945 2.0473 3.7585
Te 2.0473 4.0945 3.7585
Zr 4.0945 4.0945 6.0422
Zr 2.0473 2.0473 1.4749
Nb 0.0000 0.0000 0.0000
```

# 7
DFT (PBE-GGA) results for crystalline HfSnO4 at its relaxed geometry.

Summary:
Formation energy (no corrections) in eV per atom: -2.559

```
12
Lattice="-1.6213 -3.9570 -3.9662 3.5752 4.0376 -2.2209 2.8453 -2.7805 4.2650" Properties=species:S:1:pos:R:3 pbc="T T T"
O 4.5593 -1.3834 -1.9780
O 4.9463 0.8929 -0.1288
O 2.4519 0.4045 -0.9229
O 3.8136 2.7210 -2.1600
O 2.3544 -3.1030 -0.9954
O -0.1549 -3.5943 -1.7943
O 3.5849 -1.4314 1.1122
O 1.2151 -1.2684 -3.0366
Sn 1.5851 -3.3286 -2.9319
Sn 0.4846 0.0200 -1.5346
Hf 1.4701 0.0606 -4.6551
Hf 0.6167 -3.3686 0.1346
```

# 8
DFT (PBE-GGA) results for crystalline BeRe2W at its relaxed geometry.

Summary:
Energy of formation from the pure elements in eV/atom: 0.264

```
4
Lattice="3.1048 0.0000 0.0000 0.0000 4.2822 0.0000 0.0000 0.0000 4.2476" Properties=species:S:1:pos:R:3 pbc="T T T"
W 1.5524 0.0000 2.1238
Re 1.5524 2.1411 0.0000
Re 0.0000 0.0000 0.0000
Be 0.0000 2.1411 2.1238
```

# 9
DFT (PBE-GGA) results for crystalline SiH2Ir at its relaxed geometry.

Summary:
Distance to the lowest polymorph of the same formula in meV/atom: 474.0

```
4
Lattice="0.0000 2.6010 2.6010 2.6010 0.0000 2.6010 2.6010 2.6010 0.0000" Properties=species:S:1:pos:R:3 pbc="T T T"
Ir 2.6010 2.6010 2.6010
Si 0.0000 0.0000 0.0000
H 3.9015 3.9015 3.9015
H 1.3005 1.3005 1.3005
```

# 10
DFT (PBE-GGA) results for crystalline InTc2Te at its relaxed geometry.

Summary:
Formation energy (no corrections) in eV per atom: 0.677
Distance to the lowest polymorph of the same formula in meV/atom: 480.9

```
4
Lattice="3.1352 -0.0006 0.0000 -1.4705 2.7690 0.0000 0.0000 0.0000 8.6831" Properties=species:S:1:pos:R:3 pbc="T T T"
Te 0.8324 1.3842 2.1708
Tc 0.0000 0.0000 0.1099
Tc 0.0000 0.0000 4.2317
In 0.8324 1.3842 6.5123
```

# 11
DFT (PBE-GGA) results for crystalline U3Se2S at its relaxed geometry.

Summary:
Formation energy (no corrections) in eV per atom: -1.100
Distance to the lowest polymorph of the same formula in meV/atom: 12.2

```
6
Lattice="-2.8865 2.0064 -1.9001 0.4634 -2.3574 -3.1931 -4.5512 -5.1698 5.6566" Properties=species:S:1:pos:R:3 pbc="T T T"
U -6.2398 -4.8509 0.1799
U -2.3152 -1.2073 -1.9375
U -3.1927 -2.9696 1.7364
Se -1.2284 -1.1475 0.6764
Se -4.2795 -3.0293 -0.8775
S -5.0281 -4.6756 2.7265
```

# 12
DFT (PBE-GGA) results for crystalline NpSi2PdRh at its relaxed geometry.

Summary:
Formation energy (no corrections) in eV per atom: -0.663

```
5
Lattice="-0.6167 2.7128 2.8897 -1.2143 -2.9131 2.4757 5.7905 -0.5383 -1.0429" Properties=species:S:1:pos:R:3 pbc="T T T"
Pd 1.8304 -1.7758 2.0577
Np 0.0000 0.0000 0.0000
Rh 2.1291 1.0372 2.2647
Si 3.7685 -0.4935 1.2676
Si 0.1909 -0.2451 3.0548
```

# 13
DFT (PBE-GGA) results for crystalline Ac2Zn15Rh2 at its relaxed geometry.

Summary:
Energy of formation from the pure elements in eV/atom: -0.283

```
19
Lattice="6.9536 -0.0356 -0.0317 0.8668 6.8994 -0.0317 0.8668 0.7608 6.8574" Properties=species:S:1:pos:R:3 pbc="T T T"
Rh 7.7303 6.7848 6.0456
Rh 0.9569 0.8399 0.7484
Ac 2.9459 2.5856 2.3039
Ac 5.7413 5.0390 4.4901
Zn 3.4768 -0.0178 -0.0159
Zn 0.8668 5.2154 1.8582
Zn 0.4334 3.4497 -0.0159
Zn 5.2710 4.6263 0.9785
Zn 5.2710 1.5033 4.4833
Zn 5.2838 0.1829 1.8582
Zn 3.4162 6.1214 2.3107
Zn 0.8668 2.4448 4.9675
Zn 2.5366 0.5423 4.9675
Zn 6.5128 2.5932 2.3107
Zn 2.1744 5.0314 4.4833
Zn 2.5366 4.9969 -0.0317
Zn 5.2838 1.8669 -0.0317
Zn 3.4162 2.9984 5.8155
Zn 0.4334 0.3804 3.4287
```

Number 1: V 77.0 Å³/f.u., mass density 10.1 g cm⁻³. Number 2: V 324.6 Å³/f.u., mass density 11.1 g cm⁻³. Number 3: V 71.4 Å³/f.u., mass density 9.0 g cm⁻³. Number 4: V 129.9 Å³/f.u., mass density 3.6 g cm⁻³. Number 5: V 138.0 Å³/f.u., mass density 5.4 g cm⁻³. Number 6: V 126.0 Å³/f.u., mass density 7.0 g cm⁻³. Number 7: V 76.2 Å³/f.u., mass density 7.9 g cm⁻³. Number 8: V 56.5 Å³/f.u., mass density 16.6 g cm⁻³. Number 9: V 35.2 Å³/f.u., mass density 10.5 g cm⁻³. Number 10: V 75.4 Å³/f.u., mass density 9.7 g cm⁻³. Number 11: V 135.0 Å³/f.u., mass density 11.1 g cm⁻³. Number 12: V 83.4 Å³/f.u., mass density 10.0 g cm⁻³. Number 13: V 329.5 Å³/f.u., mass density 8.3 g cm⁻³.